Here is an optimized crystal structure of ScNbHg3 from Alexandria. Energies are from GGA-PBE.

abc: 5.278 5.278 5.278
angles: 90.00 90.00 90.00
Fractional positions:
Hg  0.000  0.000  0.500
Hg  0.500  0.000  0.000
Hg  0.000  0.500  0.000
Nb  0.000  0.000  0.000
Sc  0.500  0.500  0.500

Output
The formation energy comes out at 782 meV per atom. The calculation puts the magnetization at 0.00 μB/atom. The crystal system is cubic.

=====

Here is an optimized crystal structure of Ga3CoH from Alexandria. Energies are from GGA-PBE.

abc: 4.006 4.006 4.006
angles: 90.00 90.00 90.00
Last column: magnetic moment on the atom in μB.
Fractional positions:
Ga  0.000  0.500  0.000  0.00
Ga  0.000  0.000  0.500  0.03
Ga  0.500  0.000  0.000  0.01
H  0.000  0.000  0.000  0.00
Co  0.500  0.500  0.500  0.95

Output
The calculation puts the magnetization at 0.19 μB/atom. Its final energy is -17.8 eV for the cell shown. The crystal system is cubic.

=====

Here is an optimized crystal structure of TaAs2RuBr from Alexandria. Energies are from GGA-PBE.

abc: 4.711 4.711 5.057
angles: 90.00 90.00 90.00
Last column: magnetic moment on the atom in μB.
Fractional positions:
Ta  0.500  0.500  0.500  1.77
Br  0.000  0.000  0.500  -0.04
Ru  0.000  0.000  0.000  0.20
As  0.500  0.000  0.000  -0.05
As  0.000  0.500  0.000  -0.05

Output
The calculation puts the magnetization at 0.52 μB/atom. The calculation puts the energy relative to the elements, uncorrected at 5.3 eV/f.u. The crystal system is tetragonal.

=====

Here is an optimized crystal structure of ThZrH4 from Alexandria. Energies are from GGA-PBE.

abc: 4.840 4.874 6.624
angles: 111.55 111.40 89.95
Fractional positions:
H  0.855  0.855  0.711
H  0.145  0.145  0.289
H  0.356  0.856  0.711
H  0.644  0.144  0.289
H  0.144  0.644  0.289
H  0.856  0.356  0.711
H  0.355  0.355  0.711
H  0.645  0.645  0.289
Zr  0.500  0.500  0.500
Zr  0.000  0.000  0.500
Th  0.750  0.250  0.000
Th  0.250  0.750  0.000

Output
The calculation puts the magnetization at 0.00 μB/atom. Its final energy is -65.0 eV for the cell shown. The crystal system is monoclinic.

=====

Here is an optimized crystal structure of In2Os2W from Alexandria. Energies are from GGA-PBE.

abc: 7.731 7.731 2.933
angles: 90.00 90.00 90.00
Last column: magnetic moment on the atom in μB.
Fractional positions:
In  0.372  0.872  0.000  0.00
In  0.128  0.372  0.000  0.00
In  0.872  0.628  0.000  0.00
In  0.628  0.128  0.000  0.00
Os  0.174  0.674  0.500  0.12
Os  0.326  0.174  0.500  0.13
Os  0.674  0.826  0.500  0.13
Os  0.826  0.326  0.500  0.12
W  0.500  0.500  0.000  0.46
W  0.000  0.000  0.000  0.46

Output
The formation energy comes out at 960 meV per atom. The calculation puts the magnetization at 0.17 μB/atom. The crystal system is tetragonal.

=====

Here is an optimized crystal structure of CrRh from Alexandria. Energies are from GGA-PBE.

abc: 6.515 7.520 9.168
angles: 90.00 90.00 90.00
Fractional positions:
Cr  0.598  0.250  0.750
Cr  0.348  0.500  0.500
Cr  0.152  0.000  0.500
Cr  0.402  0.250  0.250
Cr  0.652  0.500  0.500
Cr  0.848  0.000  0.500
Cr  0.348  0.000  0.000
Cr  0.402  0.750  0.750
Cr  0.902  0.250  0.750
Cr  0.652  0.000  0.000
Cr  0.848  0.500  0.000
Cr  0.152  0.500  0.000
Cr  0.598  0.750  0.250
Cr  0.098  0.750  0.750
Cr  0.098  0.250  0.250
Cr  0.902  0.750  0.250
Rh  0.500  0.177  0.500
Rh  0.000  0.677  0.500
Rh  0.250  0.427  0.750
Rh  0.250  0.927  0.250
Rh  0.750  0.573  0.750
Rh  0.500  0.677  0.000
Rh  0.000  0.823  0.000
Rh  0.750  0.927  0.750
Rh  0.500  0.823  0.500
Rh  0.000  0.177  0.000
Rh  0.500  0.323  0.000
Rh  0.000  0.323  0.500
Rh  0.750  0.073  0.250
Rh  0.750  0.427  0.250
Rh  0.250  0.073  0.750
Rh  0.250  0.573  0.250

Output
The formation energy comes out at 416 meV per atom. The calculation puts the magnetization at 0.00 μB/atom. The crystal system is orthorhombic.

=====

Here is an optimized crystal structure of Tb2Nd3Mg2 from Alexandria. Energies are from GGA-PBE.

abc: 3.810 3.711 15.757
angles: 90.00 96.94 90.00
Fractional positions:
Tb  0.295  0.500  0.589
Tb  0.705  0.500  0.411
Mg  0.854  0.000  0.709
Mg  0.146  0.000  0.291
Nd  0.418  0.500  0.836
Nd  0.582  0.500  0.164
Nd  0.000  0.000  0.000

Output
The formation energy comes out at 46 meV per atom. The calculation puts the magnetization at 0.00 μB/atom. The crystal system is orthorhombic.

=====

Here is an optimized crystal structure of NaMgZr2N from Alexandria. Energies are from GGA-PBE.

abc: 4.451 4.962 4.451
angles: 90.00 90.00 90.00
Fractional positions:
Zr  0.000  0.000  0.500
Zr  0.500  0.000  0.000
N  0.000  0.000  0.000
Na  0.000  0.500  0.000
Mg  0.500  0.500  0.500

Output
The calculation puts the magnetization at 0.00 μB/atom. The calculation puts the energy relative to the elements, uncorrected at -1.5 eV/f.u. The crystal system is tetragonal.